(1)
# PBE-GGA ScGa5, relaxed
data_ScGa5
_space_group_name_H-M_alt 'P 1'
_space_group_IT_number 1
_space_group_name_Hall 'P 1'
_cell_length_a 4.029
_cell_length_b 4.105
_cell_length_c 6.824
_cell_angle_alpha 107.50
_cell_angle_beta 90.00
_cell_angle_gamma 90.00
loop_
_atom_site_label
_atom_site_type_symbol
_atom_site_fract_x
_atom_site_fract_y
_atom_site_fract_z
Sc1 Sc 0.000 0.000 0.000
Ga1 Ga 0.500 0.830 0.660
Ga2 Ga 0.000 0.663 0.326
Ga3 Ga 0.500 0.500 0.000
Ga4 Ga 0.000 0.337 0.674
Ga5 Ga 0.500 0.170 0.340
# Mass density in kg/m3: 6071
# Space group: No. 65
# E_form in eV per formula unit: -1.52
# Size of the total moment in μB/f.u.: 0.00

***

(2)
# PBE-GGA Cs2BiIr, relaxed
data_Cs2BiIr
_space_group_name_H-M_alt 'P 1'
_space_group_IT_number 1
_space_group_name_Hall 'P 1'
_cell_length_a 9.676
_cell_length_b 9.676
_cell_length_c 9.676
_cell_angle_alpha 94.03
_cell_angle_beta 94.03
_cell_angle_gamma 149.27
loop_
_atom_site_label
_atom_site_type_symbol
_atom_site_fract_x
_atom_site_fract_y
_atom_site_fract_z
Cs1 Cs 0.706 0.375 0.831
Cs2 Cs 0.544 0.875 0.169
Cs3 Cs 0.125 0.294 0.669
Cs4 Cs 0.625 0.456 0.331
Bi1 Bi 0.000 0.000 0.000
Bi2 Bi 0.250 0.750 0.500
Ir1 Ir 0.500 0.500 0.000
Ir2 Ir 0.750 0.250 0.500
# Mass density in kg/m3: 4962
# Space group: No. 122
# E_form in eV per formula unit: 0.78
# Size of the total moment in μB/f.u.: 0.00

***

(3)
# PBE-GGA BaLaHgGe, relaxed
data_BaLaHgGe
_space_group_name_H-M_alt 'P 1'
_space_group_IT_number 1
_space_group_name_Hall 'P 1'
_cell_length_a 5.621
_cell_length_b 5.621
_cell_length_c 5.621
_cell_angle_alpha 60.00
_cell_angle_beta 60.00
_cell_angle_gamma 60.00
loop_
_atom_site_label
_atom_site_type_symbol
_atom_site_fract_x
_atom_site_fract_y
_atom_site_fract_z
Ba1 Ba 0.000 0.000 0.000
Ge1 Ge 0.250 0.250 0.250
Hg1 Hg 0.750 0.750 0.750
La1 La 0.500 0.500 0.500
# Mass density in kg/m3: 7266
# Space group: No. 216
# E_form in eV per formula unit: -1.89
# Size of the total moment in μB/f.u.: 0.00

***

(4)
# PBE-GGA Nd7Sm3Tm, relaxed
data_Nd7Sm3Tm
_space_group_name_H-M_alt 'P 1'
_space_group_IT_number 1
_space_group_name_Hall 'P 1'
_cell_length_a 5.966
_cell_length_b 8.610
_cell_length_c 8.610
_cell_angle_alpha 82.90
_cell_angle_beta 110.20
_cell_angle_gamma 110.20
loop_
_atom_site_label
_atom_site_type_symbol
_atom_site_fract_x
_atom_site_fract_y
_atom_site_fract_z
Nd1 Nd 0.210 0.210 0.210
Nd2 Nd 0.305 0.014 0.598
Nd3 Nd 0.695 0.402 0.986
Nd4 Nd 0.305 0.598 0.014
Nd5 Nd 0.000 0.500 0.500
Nd6 Nd 0.695 0.986 0.402
Nd7 Nd 0.790 0.790 0.790
Sm1 Sm 0.000 0.793 0.207
Sm2 Sm 0.500 0.000 0.000
Sm3 Sm 0.000 0.207 0.793
Tm1 Tm 0.500 0.500 0.500
# Mass density in kg/m3: 6948
# Space group: No. 12
# E_form in eV per formula unit: 2.54
# Size of the total moment in μB/f.u.: 0.00
# Offset from the most stable computed form in kcal/mol of atoms: 1.10

***

(5)
# PBE-GGA CaAlIn2, relaxed
data_CaAlIn2
_space_group_name_H-M_alt 'P 1'
_space_group_IT_number 1
_space_group_name_Hall 'P 1'
_cell_length_a 5.713
_cell_length_b 5.713
_cell_length_c 5.712
_cell_angle_alpha 132.85
_cell_angle_beta 132.84
_cell_angle_gamma 68.92
loop_
_atom_site_label
_atom_site_type_symbol
_atom_site_fract_x
_atom_site_fract_y
_atom_site_fract_z
Ca1 Ca 0.250 0.750 0.500
Al1 Al 0.750 0.250 0.500
In1 In 0.000 0.000 0.000
In2 In 0.500 0.500 0.000
# Mass density in kg/m3: 5007
# Space group: No. 139
# E_form in eV per formula unit: -0.72
# Size of the total moment in μB/f.u.: 0.00

***

(6)
# PBE-GGA BeTlTc, relaxed
data_BeTlTc
_space_group_name_H-M_alt 'P 1'
_space_group_IT_number 1
_space_group_name_Hall 'P 1'
_cell_length_a 5.376
_cell_length_b 5.376
_cell_length_c 3.131
_cell_angle_alpha 73.06
_cell_angle_beta 73.07
_cell_angle_gamma 33.87
loop_
_atom_site_label
_atom_site_type_symbol
_atom_site_fract_x
_atom_site_fract_y
_atom_site_fract_z
Be1 Be 0.047 0.047 0.953
Tl1 Tl 0.330 0.330 0.670
Tc1 Tc 0.624 0.624 0.376
# Mass density in kg/m3: 10765
# Space group: No. 107
# E_form in eV per formula unit: 1.34
# Size of the total moment in μB/f.u.: 0.00
# Offset from the most stable computed form in kcal/mol of atoms: 0.00

***

(7)
# PBE-GGA YMo3, relaxed
data_YMo3
_space_group_name_H-M_alt 'P 1'
_space_group_IT_number 1
_space_group_name_Hall 'P 1'
_cell_length_a 3.116
_cell_length_b 9.147
_cell_length_c 3.116
_cell_angle_alpha 80.19
_cell_angle_beta 120.00
_cell_angle_gamma 99.81
loop_
_atom_site_label
_atom_site_type_symbol
_atom_site_fract_x
_atom_site_fract_y
_atom_site_fract_z
Mo1 Mo 0.989 0.967 0.011
Mo2 Mo 0.250 0.750 0.750
Mo3 Mo 0.511 0.533 0.489
Y1 Y 0.750 0.250 0.250
# Mass density in kg/m3: 8294
# Space group: No. 166
# E_form in eV per formula unit: 2.05
# Size of the total moment in μB/f.u.: 0.00
# Offset from the most stable computed form in kcal/mol of atoms: 5.94

***

(8)
# PBE-GGA InSi2Br8, relaxed
data_InSi2Br8
_space_group_name_H-M_alt 'P 1'
_space_group_IT_number 1
_space_group_name_Hall 'P 1'
_cell_length_a 8.237
_cell_length_b 8.011
_cell_length_c 8.011
_cell_angle_alpha 61.99
_cell_angle_beta 74.00
_cell_angle_gamma 74.00
loop_
_atom_site_label
_atom_site_type_symbol
_atom_site_fract_x
_atom_site_fract_y
_atom_site_fract_z
In1 In 0.000 0.000 0.000
Si1 Si 0.689 0.797 0.797
Si2 Si 0.311 0.203 0.203
Br1 Br 0.230 0.350 0.910
Br2 Br 0.770 0.090 0.650
Br3 Br 0.394 0.839 0.839
Br4 Br 0.606 0.161 0.161
Br5 Br 0.230 0.910 0.350
Br6 Br 0.770 0.650 0.090
Br7 Br 0.834 0.624 0.624
Br8 Br 0.166 0.376 0.376
# Raw total energy in Ha/atom: -0.112
# Mass density in kg/m3: 3044
# Space group: No. 12
# Size of the total moment in μB/f.u.: 0.00